MgAgCl GGA-PBEsol optimized geometry; total magnetization = 0.00 μB/f.u.; formation energy from raw total energies = -0.647 eV/atom; SG = No. 156
1.0
-2.5562 2.0132 -1.0205
0.0245 -1.2484 3.1732
3.0254 4.7836 1.8586
Ag Cl Mg
1 1 1
direct
0.0000 0.0000 0.0324 Ag
0.3333 0.6667 0.6179 Cl
0.6667 0.3333 0.3497 Mg

=====

MgAgCl2 GGA-PBEsol optimized geometry; E above lowest polymorph = 65.3 meV/atom; total magnetization = 0.00 μB/f.u.; formation energy from raw total energies = -0.760 eV/atom; SG = No. 71
1.0
-2.8304 0.0594 -1.7732
2.6592 -1.5387 -4.2963
-0.8581 -4.5980 4.3623
Ag Cl Mg
1 2 1
direct
0.0000 0.5000 0.0000 Ag
0.8472 0.8472 0.6944 Cl
0.1528 0.1528 0.3056 Cl
0.5000 0.0000 0.0000 Mg

=====

MgAgCl2 GGA-PBEsol optimized geometry; E above lowest polymorph = 144.4 meV/atom; total magnetization = 0.00 μB/f.u.; formation energy from raw total energies = -0.681 eV/atom; SG = No. 44
1.0
-1.2146 0.9551 2.8224
-5.6160 -0.4238 -0.4392
-2.7000 -4.4573 2.1806
Ag Cl Mg
1 2 1
direct
0.7557 0.7443 0.7443 Ag
0.0286 0.9714 0.9714 Cl
0.2039 0.2961 0.2961 Cl
0.5119 0.4881 0.4881 Mg

=====

Mg2AgCl GGA-PBEsol optimized geometry; E above lowest polymorph = 0.0 meV/atom; total magnetization = 0.00 μB/f.u.; formation energy from raw total energies = -0.579 eV/atom; SG = No. 12
1.0
3.3574 0.0000 0.0000
1.6787 2.9075 0.1098
1.6787 0.6902 7.9700
Ag Cl Mg
1 1 2
direct
0.0000 0.5000 0.5000 Ag
0.5000 0.0000 0.0000 Cl
0.2511 0.7482 0.7496 Mg
0.7489 0.2518 0.2504 Mg

=====

MgAgCl2 GGA-PBEsol optimized geometry; E above lowest polymorph = 53.1 meV/atom; total magnetization = 0.00 μB/f.u.; formation energy from raw total energies = -0.772 eV/atom; SG = No. 65
1.0
-2.3889 1.9229 1.1144
-0.2233 -3.1201 0.9281
5.5084 2.0605 8.2525
Ag Cl Mg
1 2 1
direct
0.5000 0.5000 0.0000 Ag
0.0000 0.0000 0.3420 Cl
0.0000 0.0000 0.6580 Cl
0.5000 0.5000 0.5000 Mg

=====

MgAgCl2 GGA-PBEsol optimized geometry; E above lowest polymorph = 0.0 meV/atom; total magnetization = 0.00 μB/f.u.; formation energy from raw total energies = -0.825 eV/atom; SG = No. 38
1.0
3.4027 0.0000 0.0000
0.0000 5.3665 -0.5121
0.0000 -2.3726 4.8430
Ag Cl Mg
1 2 1
direct
0.5000 0.2621 0.7376 Ag
0.0000 0.0347 0.9653 Cl
0.5000 0.6950 0.3049 Cl
0.0000 0.5081 0.4922 Mg

=====

Mg2AgCl GGA-PBEsol optimized geometry; E above lowest polymorph = 62.3 meV/atom; total magnetization = 0.00 μB/f.u.; formation energy from raw total energies = -0.517 eV/atom; SG = No. 123
1.0
3.2097 0.0886 0.0000
-0.0846 3.2098 0.0000
0.0000 0.0000 7.5430
Ag Cl Mg
1 1 2
direct
0.5000 0.5000 0.5000 Ag
0.5000 0.5000 0.0000 Cl
0.0000 0.0000 0.2732 Mg
0.0000 0.0000 0.7268 Mg

=====

MgAgCl2 GGA-PBEsol optimized geometry; E above lowest polymorph = 168.1 meV/atom; total magnetization = 0.00 μB/f.u.; formation energy from raw total energies = -0.657 eV/atom; SG = No. 122
1.0
-0.4813 4.5625 4.9439
-4.8064 -4.6529 -0.7746
6.1028 -1.7896 2.2457
Mg Ag Cl
2 2 4
direct
0.7500 0.5000 0.2500 Mg
0.5000 0.0000 0.5000 Mg
0.2500 0.5000 0.7500 Ag
0.0000 0.0000 0.0000 Ag
0.7981 0.2500 0.8750 Cl
0.4519 0.2500 0.3750 Cl
0.6250 0.7500 0.2019 Cl
0.1250 0.7500 0.5481 Cl